(1)
! NdIrO3, relaxed, DFT PBE; values from VASP
&SYSTEM
  ibrav = 0, nat = 5, ntyp = 3
/
ATOMIC_SPECIES
Ir 192.22 Ir.upf
Nd 144.24 Nd.upf
O 16.00 O.upf
ATOMIC_POSITIONS angstrom
Ir -3.418 -0.702 -0.986
Nd -2.315 -3.443 0.583
O -2.271 1.004 -1.275
O -3.009 -1.100 0.931
O -2.102 -2.121 -1.490
CELL_PARAMETERS angstrom
-3.039 2.231 1.111
-1.224 0.191 -3.731
-2.317 -3.447 0.584
! M_tot = 0.0 μB/f.u.


(2)
! Nd2P2IrOsO2, relaxed, DFT PBE; values from VASP
&SYSTEM
  ibrav = 0, nat = 8, ntyp = 5
/
ATOMIC_SPECIES
Ir 192.22 Ir.upf
Nd 144.24 Nd.upf
O 16.00 O.upf
Os 190.23 Os.upf
P 30.97 P.upf
ATOMIC_POSITIONS angstrom
Ir 0.000 0.000 0.000
Nd 2.015 0.000 2.962
Nd 0.000 2.015 5.334
O 0.000 0.000 4.148
O 2.015 2.015 4.148
Os 2.015 2.015 0.000
P 0.000 2.015 1.228
P 2.015 0.000 7.067
CELL_PARAMETERS angstrom
4.030 0.000 0.000
0.000 4.030 0.000
0.000 0.000 8.295
! M_tot = 0.0 μB/f.u.


(3)
! Nd2Sb2IrOsO2, relaxed, DFT PBE; values from VASP
&SYSTEM
  ibrav = 0, nat = 8, ntyp = 5
/
ATOMIC_SPECIES
Ir 192.22 Ir.upf
Nd 144.24 Nd.upf
O 16.00 O.upf
Os 190.23 Os.upf
Sb 121.76 Sb.upf
ATOMIC_POSITIONS angstrom
Ir 0.000 0.000 0.000
Nd 2.909 0.504 2.441
Nd 4.750 -2.677 1.910
O 4.158 -0.662 0.773
O 3.501 -1.510 3.578
Os -0.657 -0.849 2.805
Sb 1.000 -2.080 1.213
Sb 6.658 -0.092 3.138
CELL_PARAMETERS angstrom
-0.376 1.994 3.731
-0.937 -3.692 1.879
8.315 -1.323 1.546
! M_tot = 0.0 μB/f.u.


(4)
! PrNdP2Ir2O2, relaxed, DFT PBE; values from VASP
&SYSTEM
  ibrav = 0, nat = 8, ntyp = 5
/
ATOMIC_SPECIES
Ir 192.22 Ir.upf
Nd 144.24 Nd.upf
O 16.00 O.upf
P 30.97 P.upf
Pr 140.91 Pr.upf
ATOMIC_POSITIONS angstrom
Ir -3.637 0.371 2.853
Ir -1.583 2.052 3.845
Nd -0.812 0.606 0.653
O -0.831 -1.724 0.594
O 1.224 -0.043 1.586
P -1.531 -0.331 3.729
P -3.690 2.755 2.970
Pr -4.409 1.818 6.045
CELL_PARAMETERS angstrom
-1.642 -3.463 1.172
2.466 -0.101 3.157
-5.639 4.211 4.539
! M_tot = 0.0 μB/f.u.


(5)
! TbNdP2Ir2O2, relaxed, DFT PBE; values from VASP
&SYSTEM
  ibrav = 0, nat = 8, ntyp = 5
/
ATOMIC_SPECIES
Ir 192.22 Ir.upf
Nd 144.24 Nd.upf
O 16.00 O.upf
P 30.97 P.upf
Tb 158.93 Tb.upf
ATOMIC_POSITIONS angstrom
Ir -0.903 4.440 0.177
Ir 0.280 3.692 2.617
Nd 1.593 6.721 1.287
O -1.814 0.595 -0.559
O -0.631 -0.152 1.880
P 0.629 2.654 0.508
P -1.250 5.486 2.287
Tb -2.214 1.417 1.508
CELL_PARAMETERS angstrom
-3.653 1.084 -1.138
-1.287 -0.411 3.740
1.857 7.836 1.501
! M_tot = 0.0 μB/f.u.


(6)
! NdYP2Ir2O2, relaxed, DFT PBE; values from VASP
&SYSTEM
  ibrav = 0, nat = 8, ntyp = 5
/
ATOMIC_SPECIES
Ir 192.22 Ir.upf
Nd 144.24 Nd.upf
O 16.00 O.upf
P 30.97 P.upf
Y 88.91 Y.upf
ATOMIC_POSITIONS angstrom
Ir 2.014 1.421 3.845
Ir 3.631 -0.579 2.708
Nd 0.899 0.367 0.633
O 5.121 2.690 6.032
O 6.738 0.690 4.896
P 1.443 -0.876 3.594
P 4.196 1.714 2.954
Y 4.738 0.471 5.914
CELL_PARAMETERS angstrom
-2.349 0.235 3.200
0.886 -3.764 0.927
6.341 2.591 4.465
! M_tot = 0.0 μB/f.u.


no.,E (eV/cell)
1,-36.58
2,-65.63
3,-60.20
4,-63.26
5,-63.40
6,-65.13